1.
12
Lattice="6.2344 0.0000 0.0000 -3.1172 5.9101 0.0000 0.0000 0.0000 7.3936" Properties=species:S:1:pos:R:3 comment="HoScMn GGA-PBE relaxed" dos_at_fermi_per_ev_fu=3.88 magnetic_moment_mub_per_fu=1.4 crystal_system=orthorhombic spacegroup=Cmce vol_a3_per_cell=272 energy_ev_per_atom=-6.577 formation_energy_ev_per_atom=0.116 pbc="T T T"
Mn 3.1172 1.1119 4.0680
Ho 3.1172 3.6318 2.9180
Ho 0.0000 3.6318 0.7788
Sc 1.5586 0.5781 1.8484
Mn 0.0000 1.1119 7.0224
Sc -1.5586 5.3320 5.5452
Sc 1.5586 5.3320 5.5452
Mn 0.0000 4.7981 3.3256
Ho 0.0000 2.2782 4.4756
Sc 4.6758 0.5781 1.8484
Ho 3.1172 2.2782 6.6148
Mn 3.1172 4.7981 0.3712


2.
2
Lattice="2.8283 0.0020 0.0000 -0.9494 2.6642 0.0000 0.0000 0.0000 4.5257" Properties=species:S:1:pos:R:3 comment="TaW GGA-PBE relaxed" dos_at_fermi_per_ev_fu=1.87 magnetic_moment_mub_per_fu=0.0 crystal_system=orthorhombic spacegroup=Cmmm vol_a3_per_cell=34 energy_ev_per_atom=-12.463 formation_energy_ev_per_atom=-0.060 pbc="T T T"
Ta 0.0000 0.0000 0.0000
W 0.9394 1.3331 2.2628


Q: Number 1 is which compound?
A: HoScMn


Please write out number 1 again, unchanged.
12
Lattice="6.2344 0.0000 0.0000 -3.1172 5.9101 0.0000 0.0000 0.0000 7.3936" Properties=species:S:1:pos:R:3 comment="HoScMn GGA-PBE relaxed" dos_at_fermi_per_ev_fu=3.88 magnetic_moment_mub_per_fu=1.4 crystal_system=orthorhombic spacegroup=Cmce vol_a3_per_cell=272 energy_ev_per_atom=-6.577 formation_energy_ev_per_atom=0.116 pbc="T T T"
Mn 3.1172 1.1119 4.0680
Ho 3.1172 3.6318 2.9180
Ho 0.0000 3.6318 0.7788
Sc 1.5586 0.5781 1.8484
Mn 0.0000 1.1119 7.0224
Sc -1.5586 5.3320 5.5452
Sc 1.5586 5.3320 5.5452
Mn 0.0000 4.7981 3.3256
Ho 0.0000 2.2782 4.4756
Sc 4.6758 0.5781 1.8484
Ho 3.1172 2.2782 6.6148
Mn 3.1172 4.7981 0.3712


Q: What is the formula in the second record?
A: TaW